Record 1
Computed, not measured: an optimized crystal structure of BaNiGe2Mo at the PBE level of DFT.

Results
- V: 169 Å³/cell
- ΔH_f (0 K): 2486.7 meV/atom
- Symmetry: No. 123
- Total energy: -3.0673 eV/atom
- Size of the total moment: 2.794 μB per formula unit

Geometry as CIF:
```
data_BaNiGe2Mo
_chemical_formula_sum 'Ba1 Ni1 Ge2 Mo1'
_symmetry_space_group_name_H-M 'P 1'
_symmetry_Int_Tables_number 1
_symmetry_space_group_name_Hall 'P 1'
_cell_length_a 5.634
_cell_length_b 5.311
_cell_length_c 5.634
_cell_angle_alpha 90.00
_cell_angle_beta 90.00
_cell_angle_gamma 90.00
loop_
_atom_site_label
_atom_site_type_symbol
_atom_site_fract_x
_atom_site_fract_y
_atom_site_fract_z
Ba1 Ba 0.000 0.000 0.000
Ni1 Ni 0.500 0.500 0.500
Ge1 Ge 0.000 0.000 0.500
Mo1 Mo 0.000 0.500 0.000
Ge2 Ge 0.500 0.000 0.000
```

Record 2
Computed, not measured: an optimized crystal structure of Rb3TbPu2Te6 at the PBE level of DFT.

Results
- V: 466 Å³/cell
- Symmetry: No. 12
- Total energy: -5.7794 eV/atom
- Size of the total moment: 10.000 μB per formula unit

Geometry as CIF:
```
data_Rb3TbPu2Te6
_chemical_formula_sum 'Rb3 Tb1 Pu2 Te6'
_symmetry_space_group_name_H-M 'P 1'
_symmetry_Int_Tables_number 1
_symmetry_space_group_name_Hall 'P 1'
_cell_length_a 7.940
_cell_length_b 7.940
_cell_length_c 8.928
_cell_angle_alpha 98.52
_cell_angle_beta 98.52
_cell_angle_gamma 120.00
loop_
_atom_site_label
_atom_site_type_symbol
_atom_site_fract_x
_atom_site_fract_y
_atom_site_fract_z
Pu1 Pu 0.333 0.667 0.000
Te1 Te 0.067 0.398 0.200
Te2 Te 0.735 0.735 0.200
Rb1 Rb 0.167 0.833 0.500
Te3 Te 0.398 0.067 0.200
Te4 Te 0.265 0.265 0.800
Pu2 Pu 0.667 0.333 0.000
Rb2 Rb 0.500 0.500 0.500
Rb3 Rb 0.833 0.167 0.500
Tb1 Tb 0.000 0.000 0.000
Te5 Te 0.602 0.933 0.800
Te6 Te 0.933 0.602 0.800
```

Question: total energy of number 1 (BaNiGe2Mo)?
Answer: -3.0673 eV/atom

Question: V of number 1 (BaNiGe2Mo)?
Answer: 169 Å³/cell

Question: Among the records above, which one has the highest size of the total moment?
Answer: Rb3TbPu2Te6